First-principles (GGA+U) data for a geometry-optimized CdCoCF2 structure, as listed in Alexandria via LeMat-Bulk.

Unit cell a=4.031 b=4.375 c=4.031 alpha=90.00 beta=90.00 gamma=90.00
Last column: magnetic moment on the atom in μB.
Positions (direct):
C (0.000, 0.000, 0.000)  0.01
Cd (0.000, 0.500, 0.000)  -0.01
F (0.500, 0.000, 0.000)  0.02
F (0.000, 0.000, 0.500)  0.02
Co (0.500, 0.500, 0.500)  2.12

Summary:
E ... -3.2200 eV/atom
Spin magnetization ... 2.3 Bohr magnetons per cell
V ... 71 Å³/cell